Record 1
! HoAg12Hg6 PBE optimized geometry; values from VASP
&SYSTEM
  ibrav = 0, nat = 19, ntyp = 3
/
ATOMIC_SPECIES
Ho 164.93 Ho.upf
Ag 107.87 Ag.upf
Hg 200.59 Hg.upf
ATOMIC_POSITIONS crystal
Ho 0.0000 0.0000 0.0000
Ag 0.9995 0.2642 0.7364
Ag 0.0005 0.7358 0.2636
Ag 0.1870 0.5970 0.5960
Ag 0.2636 0.0005 0.7358
Ag 0.2642 0.7364 0.9995
Ag 0.4030 0.4040 0.8130
Ag 0.4040 0.8130 0.4030
Ag 0.5960 0.1870 0.5970
Ag 0.5970 0.5960 0.1870
Ag 0.7364 0.9995 0.2642
Ag 0.7358 0.2636 0.0005
Ag 0.8130 0.4030 0.4040
Hg 0.1672 0.1689 0.4302
Hg 0.1689 0.4302 0.1672
Hg 0.4302 0.1672 0.1689
Hg 0.5698 0.8328 0.8311
Hg 0.8311 0.5698 0.8328
Hg 0.8328 0.8311 0.5698
CELL_PARAMETERS angstrom
5.8950 3.4035 3.2951
-5.8950 3.4035 3.2951
0.0000 -6.8070 3.2951
! Magnetic moment   0.0 μB per formula unit
! Space group   No. 148
! Formation enthalpy at 0 K   0.031 eV/atom


Record 2
! HoAg3Hg PBE optimized geometry; values from VASP
&SYSTEM
  ibrav = 0, nat = 20, ntyp = 3
/
ATOMIC_SPECIES
Ho 164.93 Ho.upf
Ag 107.87 Ag.upf
Hg 200.59 Hg.upf
ATOMIC_POSITIONS crystal
Ho 0.0000 0.0000 0.0000
Ho 0.0000 0.5000 0.0000
Ho 0.5000 0.0000 0.5000
Ho 0.5000 0.5000 0.5000
Ag 0.0012 0.0740 0.3116
Ag 0.0012 0.4260 0.3116
Ag 0.0034 0.2500 0.8071
Ag 0.4966 0.7500 0.3071
Ag 0.4988 0.5740 0.8116
Ag 0.4988 0.9260 0.8116
Ag 0.5012 0.0740 0.1884
Ag 0.5012 0.4260 0.1884
Ag 0.5034 0.2500 0.6929
Ag 0.9966 0.7500 0.1929
Ag 0.9988 0.5740 0.6884
Ag 0.9988 0.9260 0.6884
Hg 0.0017 0.2500 0.5440
Hg 0.4983 0.7500 0.0440
Hg 0.5017 0.2500 0.9560
Hg 0.9983 0.7500 0.4560
CELL_PARAMETERS angstrom
4.9344 0.0000 0.0000
0.0000 7.9421 0.0000
0.0000 0.0000 11.1477
! Magnetic moment   0.0 μB per formula unit
! Space group   No. 62
! Formation enthalpy at 0 K   -0.093 eV/atom


Record 3
! HoAgHg5 PBE optimized geometry; values from VASP
&SYSTEM
  ibrav = 0, nat = 7, ntyp = 3
/
ATOMIC_SPECIES
Ho 164.93 Ho.upf
Ag 107.87 Ag.upf
Hg 200.59 Hg.upf
ATOMIC_POSITIONS crystal
Ho 0.0000 0.0000 0.0000
Ag 0.0000 0.0000 0.5000
Hg 0.0000 0.5000 0.2826
Hg 0.0000 0.5000 0.7174
Hg 0.5000 0.0000 0.2826
Hg 0.5000 0.0000 0.7174
Hg 0.5000 0.5000 0.0000
CELL_PARAMETERS angstrom
4.8915 0.0000 0.0000
0.0000 4.8915 0.0000
0.0000 0.0000 7.1329
! Magnetic moment   0.0 μB per formula unit
! Space group   No. 123
! Formation enthalpy at 0 K   -0.178 eV/atom


Record 4
! Ho6AgHg PBE optimized geometry; values from VASP
&SYSTEM
  ibrav = 0, nat = 8, ntyp = 3
/
ATOMIC_SPECIES
Ho 164.93 Ho.upf
Ag 107.87 Ag.upf
Hg 200.59 Hg.upf
ATOMIC_POSITIONS crystal
Ho 0.1103 0.6103 0.5000
Ho 0.2494 0.2494 0.0000
Ho 0.3897 0.8897 0.5000
Ho 0.6103 0.1103 0.5000
Ho 0.7506 0.7506 0.0000
Ho 0.8897 0.3897 0.5000
Ag 0.5000 0.5000 0.0000
Hg 0.0000 0.0000 0.0000
CELL_PARAMETERS angstrom
-2.5210 2.5210 8.8040
2.5210 -2.5210 8.8040
2.5210 2.5210 -8.8040
! Magnetic moment   0.0 μB per formula unit
! Space group   No. 139
! Formation enthalpy at 0 K   -0.183 eV/atom


Record 5
! Ho11Ag4Hg9 PBE optimized geometry; values from VASP
&SYSTEM
  ibrav = 0, nat = 24, ntyp = 3
/
ATOMIC_SPECIES
Ho 164.93 Ho.upf
Ag 107.87 Ag.upf
Hg 200.59 Hg.upf
ATOMIC_POSITIONS crystal
Ho 0.0000 0.0000 0.0000
Ho 0.0719 0.4139 0.0000
Ho 0.1692 0.8308 0.0000
Ho 0.2684 0.2684 0.0000
Ho 0.3563 0.6437 0.0000
Ho 0.4139 0.0719 0.0000
Ho 0.5861 0.9281 0.0000
Ho 0.6437 0.3563 0.0000
Ho 0.7316 0.7316 0.0000
Ho 0.8308 0.1692 0.0000
Ho 0.9281 0.5861 0.0000
Ag 0.2602 0.4475 0.5000
Ag 0.4475 0.2602 0.5000
Ag 0.5525 0.7398 0.5000
Ag 0.7398 0.5525 0.5000
Hg 0.0509 0.2101 0.5000
Hg 0.1484 0.6277 0.5000
Hg 0.2101 0.0509 0.5000
Hg 0.3723 0.8516 0.5000
Hg 0.5000 0.5000 0.5000
Hg 0.6277 0.1484 0.5000
Hg 0.7899 0.9491 0.5000
Hg 0.8516 0.3723 0.5000
Hg 0.9491 0.7899 0.5000
CELL_PARAMETERS angstrom
7.3002 -10.8912 0.0000
7.3002 10.8912 0.0000
0.0000 0.0000 3.7297
! Magnetic moment   0.0 μB per formula unit
! Space group   No. 65
! Formation enthalpy at 0 K   -0.407 eV/atom


Record 6
! HoAg4Hg PBE optimized geometry; values from VASP
&SYSTEM
  ibrav = 0, nat = 6, ntyp = 3
/
ATOMIC_SPECIES
Ho 164.93 Ho.upf
Ag 107.87 Ag.upf
Hg 200.59 Hg.upf
ATOMIC_POSITIONS crystal
Ho 0.0000 0.0000 0.0000
Ag 0.3749 0.3749 0.3749
Ag 0.3749 0.3749 0.8752
Ag 0.3749 0.8752 0.3749
Ag 0.8752 0.3749 0.3749
Hg 0.7500 0.7500 0.7500
CELL_PARAMETERS angstrom
0.0000 3.9397 3.9397
3.9397 0.0000 3.9397
3.9397 3.9397 0.0000
! Magnetic moment   0.0 μB per formula unit
! Space group   No. 216
! Formation enthalpy at 0 K   -0.159 eV/atom


Record 7
! Ho2AgHg PBE optimized geometry; values from VASP
&SYSTEM
  ibrav = 0, nat = 4, ntyp = 3
/
ATOMIC_SPECIES
Ho 164.93 Ho.upf
Ag 107.87 Ag.upf
Hg 200.59 Hg.upf
ATOMIC_POSITIONS crystal
Ho 0.0000 0.5000 0.0000
Ho 0.5000 0.0000 0.0000
Ag 0.0000 0.0000 0.5000
Hg 0.5000 0.5000 0.5000
CELL_PARAMETERS angstrom
5.1763 0.0000 0.0000
0.0000 5.1763 0.0000
0.0000 0.0000 3.6721
! Magnetic moment   0.0 μB per formula unit
! Space group   No. 123
! Formation enthalpy at 0 K   -0.408 eV/atom


Record 8
! Ho2Ag3Hg PBE optimized geometry; values from VASP
&SYSTEM
  ibrav = 0, nat = 12, ntyp = 3
/
ATOMIC_SPECIES
Ho 164.93 Ho.upf
Ag 107.87 Ag.upf
Hg 200.59 Hg.upf
ATOMIC_POSITIONS crystal
Ho 0.2482 0.7518 0.7518
Ho 0.2500 0.2500 0.2500
Ho 0.7500 0.7500 0.7500
Ho 0.7518 0.2482 0.2482
Ag 0.1649 0.1649 0.8351
Ag 0.1654 0.6697 0.3303
Ag 0.3303 0.8346 0.1654
Ag 0.6697 0.1654 0.8346
Ag 0.8346 0.3303 0.6697
Ag 0.8351 0.8351 0.1649
Hg 0.3334 0.3334 0.6666
Hg 0.6666 0.6666 0.3334
CELL_PARAMETERS angstrom
0.0000 4.8290 8.3763
3.3156 0.0000 8.3763
3.3156 4.8290 0.0000
! Magnetic moment   0.0 μB per formula unit
! Space group   No. 69
! Formation enthalpy at 0 K   -0.296 eV/atom


What is the formula in the eighth record? Ho2Ag3Hg


Which of these has the highest formation enthalpy at 0 K? HoAg12Hg6